1.
{"formula": "AgHg2Cl", "functional": "PBE", "state": "optimized geometry", "cell": [[5.370, 0.000, 0.000], [0.000, 5.370, 0.000], [0.000, 0.000, 3.152]], "species": ["Ag", "Hg", "Hg", "Cl"], "fractional_positions": [[0.000, 0.000, 0.000], [0.000, 0.500, 0.500], [0.500, 0.000, 0.500], [0.500, 0.500, 0.000]], "raw_formation_energy_mev_per_atom": 6, "volume_a3_per_atom": 22.7, "relative_energy_mev_per_atom": 221}

***

2.
{"formula": "AgHg2Cl", "functional": "PBE", "state": "optimized geometry", "cell": [[1.866, 1.077, 8.136], [-1.866, 1.077, 8.136], [0.000, -2.155, 8.136]], "species": ["Ag", "Hg", "Hg", "Cl"], "fractional_positions": [[0.000, 0.000, 0.000], [0.253, 0.253, 0.253], [0.747, 0.747, 0.747], [0.500, 0.500, 0.500]], "raw_formation_energy_mev_per_atom": -179, "volume_a3_per_atom": 24.5, "relative_energy_mev_per_atom": 37}

***

3.
{"formula": "Ag5Hg3Cl12", "functional": "PBE", "state": "optimized geometry", "cell": [[-8.386, 8.386, 8.386], [8.386, -8.386, 8.386], [8.386, 8.386, -8.386]], "species": ["Ag", "Ag", "Ag", "Ag", "Ag", "Ag", "Ag", "Ag", "Ag", "Ag", "Ag", "Ag", "Ag", "Ag", "Ag", "Ag", "Ag", "Ag", "Ag", "Ag", "Hg", "Hg", "Hg", "Hg", "Hg", "Hg", "Hg", "Hg", "Hg", "Hg", "Hg", "Hg", "Cl", "Cl", "Cl", "Cl", "Cl", "Cl", "Cl", "Cl", "Cl", "Cl", "Cl", "Cl", "Cl", "Cl", "Cl", "Cl", "Cl", "Cl", "Cl", "Cl", "Cl", "Cl", "Cl", "Cl", "Cl", "Cl", "Cl", "Cl", "Cl", "Cl", "Cl", "Cl", "Cl", "Cl", "Cl", "Cl", "Cl", "Cl", "Cl", "Cl", "Cl", "Cl", "Cl", "Cl", "Cl", "Cl", "Cl", "Cl"], "fractional_positions": [[0.000, 0.000, 0.000], [0.000, 0.000, 0.500], [0.000, 0.500, 0.000], [0.000, 0.500, 0.500], [0.125, 0.750, 0.875], [0.125, 0.875, 0.250], [0.250, 0.125, 0.875], [0.250, 0.625, 0.375], [0.375, 0.250, 0.625], [0.375, 0.625, 0.750], [0.500, 0.000, 0.000], [0.500, 0.000, 0.500], [0.500, 0.500, 0.000], [0.500, 0.500, 0.500], [0.625, 0.375, 0.250], [0.625, 0.750, 0.375], [0.750, 0.375, 0.625], [0.750, 0.875, 0.125], [0.875, 0.125, 0.750], [0.875, 0.250, 0.125], [0.125, 0.250, 0.375], [0.125, 0.375, 0.750], [0.250, 0.375, 0.125], [0.250, 0.875, 0.625], [0.375, 0.125, 0.250], [0.375, 0.750, 0.125], [0.625, 0.250, 0.875], [0.625, 0.875, 0.750], [0.750, 0.125, 0.375], [0.750, 0.625, 0.875], [0.875, 0.625, 0.250], [0.875, 0.750, 0.625], [0.011, 0.651, 0.171], [0.011, 0.860, 0.840], [0.020, 0.160, 0.671], [0.020, 0.360, 0.349], [0.140, 0.160, 0.989], [0.140, 0.480, 0.151], [0.151, 0.140, 0.480], [0.151, 0.511, 0.671], [0.160, 0.671, 0.020], [0.160, 0.989, 0.140], [0.171, 0.011, 0.651], [0.171, 0.660, 0.520], [0.329, 0.849, 0.489], [0.329, 0.980, 0.840], [0.340, 0.360, 0.511], [0.340, 0.480, 0.829], [0.349, 0.020, 0.360], [0.349, 0.829, 0.989], [0.360, 0.349, 0.020], [0.360, 0.511, 0.340], [0.480, 0.151, 0.140], [0.480, 0.829, 0.340], [0.489, 0.329, 0.849], [0.489, 0.660, 0.640], [0.511, 0.340, 0.360], [0.511, 0.671, 0.151], [0.520, 0.171, 0.660], [0.520, 0.849, 0.860], [0.640, 0.489, 0.660], [0.640, 0.651, 0.980], [0.651, 0.171, 0.011], [0.651, 0.980, 0.640], [0.660, 0.520, 0.171], [0.660, 0.640, 0.489], [0.671, 0.020, 0.160], [0.671, 0.151, 0.511], [0.829, 0.340, 0.480], [0.829, 0.989, 0.349], [0.840, 0.011, 0.860], [0.840, 0.329, 0.980], [0.849, 0.489, 0.329], [0.849, 0.860, 0.520], [0.860, 0.520, 0.849], [0.860, 0.840, 0.011], [0.980, 0.640, 0.651], [0.980, 0.840, 0.329], [0.989, 0.140, 0.160], [0.989, 0.349, 0.829]], "raw_formation_energy_mev_per_atom": -421, "volume_a3_per_atom": 29.5}

***

What did the first record say?
{"formula": "AgHg2Cl", "functional": "PBE", "state": "optimized geometry", "cell": [[5.370, 0.000, 0.000], [0.000, 5.370, 0.000], [0.000, 0.000, 3.152]], "species": ["Ag", "Hg", "Hg", "Cl"], "fractional_positions": [[0.000, 0.000, 0.000], [0.000, 0.500, 0.500], [0.500, 0.000, 0.500], [0.500, 0.500, 0.000]], "raw_formation_energy_mev_per_atom": 6, "volume_a3_per_atom": 22.7, "relative_energy_mev_per_atom": 221}